Sm2SiSeO4: relaxed, PBE-GGA.

Properties
Uncorrected formation energy in eV/atom: -2.99
E in eV/atom: -7.759

a = 6.1807 Å, b = 7.1469 Å, c = 11.0231 Å
α = 90.00°, β = 90.00°, γ = 90.00°
Fractional positions:
Sm (0.1094, 0.2500, 0.0000)
Sm (0.1094, 0.2500, 0.5000)
Sm (0.3682, 0.5328, 0.2500)
Sm (0.3682, 0.9672, 0.7500)
Sm (0.6318, 0.0328, 0.2500)
Sm (0.6318, 0.4672, 0.7500)
Sm (0.8906, 0.7500, 0.0000)
Sm (0.8906, 0.7500, 0.5000)
Si (0.3857, 0.7500, 0.0000)
Si (0.3857, 0.7500, 0.5000)
Si (0.6143, 0.2500, 0.0000)
Si (0.6143, 0.2500, 0.5000)
Se (0.0728, 0.6215, 0.7500)
Se (0.0728, 0.8785, 0.2500)
Se (0.9272, 0.1215, 0.7500)
Se (0.9272, 0.3785, 0.2500)
O (0.2261, 0.5725, 0.0321)
O (0.2261, 0.5725, 0.4679)
O (0.2261, 0.9275, 0.5321)
O (0.2261, 0.9275, 0.9679)
O (0.4510, 0.2363, 0.6188)
O (0.4510, 0.2363, 0.8812)
O (0.4510, 0.2637, 0.1188)
O (0.4510, 0.2637, 0.3812)
O (0.5490, 0.7363, 0.6188)
O (0.5490, 0.7363, 0.8812)
O (0.5490, 0.7637, 0.1188)
O (0.5490, 0.7637, 0.3812)
O (0.7739, 0.0725, 0.0321)
O (0.7739, 0.0725, 0.4679)
O (0.7739, 0.4275, 0.5321)
O (0.7739, 0.4275, 0.9679)

---

Ge3Ir2: relaxed, PBE-GGA.

Properties
Formation enthalpy at 0 K in eV per atom: -0.24
E in eV/atom: -6.552
Energy above the lowest structure with this stoichiometry in meV/atom: 0

a = 6.6166 Å, b = 6.6166 Å, c = 6.6166 Å
α = 55.86°, β = 55.86°, γ = 55.86°
Fractional positions:
Ge (0.0990, 0.7500, 0.4010)
Ge (0.2500, 0.5990, 0.9010)
Ge (0.4010, 0.0990, 0.7500)
Ge (0.5990, 0.9010, 0.2500)
Ge (0.7500, 0.4010, 0.0990)
Ge (0.9010, 0.2500, 0.5990)
Ir (0.1660, 0.1660, 0.1660)
Ir (0.3340, 0.3340, 0.3340)
Ir (0.6660, 0.6660, 0.6660)
Ir (0.8340, 0.8340, 0.8340)

---

SbMo2S2: relaxed, PBE-GGA.

Properties
Uncorrected formation energy in eV/atom: -0.54
E in eV/atom: -7.344

a = 6.6047 Å, b = 3.2050 Å, c = 9.5160 Å
α = 90.00°, β = 105.95°, γ = 90.00°
Fractional positions:
Sb (0.0037, 0.2500, 0.1611)
Sb (0.9963, 0.7500, 0.8389)
Mo (0.1053, 0.2500, 0.6154)
Mo (0.3382, 0.2500, 0.0207)
Mo (0.6618, 0.7500, 0.9793)
Mo (0.8947, 0.7500, 0.3846)
S (0.2625, 0.7500, 0.4930)
S (0.4711, 0.2500, 0.8109)
S (0.5289, 0.7500, 0.1891)
S (0.7375, 0.2500, 0.5070)

---

Er2MgRu: relaxed, PBE-GGA.

Properties
Formation enthalpy at 0 K in eV per atom: -0.08
E in eV/atom: -5.082

a = 9.4730 Å, b = 9.4730 Å, c = 9.4730 Å
α = 21.49°, β = 21.49°, γ = 21.49°
Fractional positions:
Er (0.2337, 0.2337, 0.2337)
Er (0.7663, 0.7663, 0.7663)
Mg (0.0000, 0.0000, 0.0000)
Ru (0.5000, 0.5000, 0.5000)

---

Ta2SbRu: relaxed, PBE-GGA.

Properties
Uncorrected formation energy in eV/atom: 0.01
E in eV/atom: -9.265

a = 3.0523 Å, b = 3.0523 Å, c = 7.7590 Å
α = 90.00°, β = 90.00°, γ = 90.00°
Fractional positions:
Ta (0.0000, 0.0000, 0.2205)
Ta (0.0000, 0.0000, 0.7795)
Sb (0.5000, 0.5000, 0.5000)
Ru (0.5000, 0.5000, 0.0000)

---

BaBi3Pb: relaxed, PBE-GGA.

Properties
Formation enthalpy at 0 K in eV per atom: -0.27
E in eV/atom: -3.728
Energy above the lowest structure with this stoichiometry in meV/atom: 0

a = 7.0977 Å, b = 7.8072 Å, c = 7.0942 Å
α = 90.00°, β = 90.00°, γ = 90.00°
Fractional positions:
Ba (0.0000, 0.2052, 0.0000)
Ba (0.5000, 0.7948, 0.5000)
Bi (0.0000, 0.8865, 0.6200)
Bi (0.2278, 0.2422, 0.4922)
Bi (0.2722, 0.7578, 0.9922)
Bi (0.5000, 0.1135, 0.1200)
Bi (0.7278, 0.7578, 0.9922)
Bi (0.7722, 0.2422, 0.4922)
Pb (0.0000, 0.5907, 0.3173)
Pb (0.5000, 0.4093, 0.8173)

---

La2IrRuN: relaxed, PBE-GGA.

Properties
Uncorrected formation energy in eV/atom: -0.62
E in eV/atom: -7.880

a = 5.2126 Å, b = 5.2126 Å, c = 3.7982 Å
α = 90.00°, β = 90.00°, γ = 90.00°
Fractional positions:
La (0.0000, 0.5000, 0.0000)
La (0.5000, 0.0000, 0.0000)
Ir (0.0000, 0.0000, 0.5000)
Ru (0.5000, 0.5000, 0.5000)
N (0.5000, 0.5000, 0.0000)

---

GdAsAu4: relaxed, PBE-GGA.

Properties
Formation enthalpy at 0 K in eV per atom: -0.38
E in eV/atom: -5.686

a = 5.5954 Å, b = 5.5954 Å, c = 5.5954 Å
α = 60.00°, β = 60.00°, γ = 60.00°
Fractional positions:
Gd (0.0000, 0.0000, 0.0000)
As (0.2500, 0.2500, 0.2500)
Au (0.1250, 0.6250, 0.6250)
Au (0.6250, 0.1250, 0.6250)
Au (0.6250, 0.6250, 0.1250)
Au (0.6250, 0.6250, 0.6250)

---

Li2YTiBi: relaxed, PBE-GGA.

Properties
Formation enthalpy at 0 K in eV per atom: 0.29
E in eV/atom: -4.128

a = 4.9465 Å, b = 4.9465 Å, c = 5.3994 Å
α = 90.00°, β = 90.00°, γ = 90.00°
Fractional positions:
Li (0.0000, 0.5000, 0.0000)
Li (0.5000, 0.0000, 0.0000)
Y (0.0000, 0.0000, 0.5000)
Ti (0.5000, 0.5000, 0.5000)
Bi (0.5000, 0.5000, 0.0000)

---

Cd2InTe: relaxed, PBE-GGA.

Properties
Uncorrected formation energy in eV/atom: -0.08
E in eV/atom: -2.005
Energy above the lowest structure with this stoichiometry in meV/atom: 0

a = 4.2915 Å, b = 4.2915 Å, c = 7.6093 Å
α = 107.58°, β = 107.58°, γ = 63.52°
Fractional positions:
Cd (0.0000, 0.0000, 0.0000)
Cd (0.7450, 0.7450, 0.2338)
In (0.4999, 0.4999, 0.4959)
Te (0.2514, 0.2514, 0.7547)

---

HfBN2O: relaxed, PBE-GGA.

Properties
Uncorrected formation energy in eV/atom: -0.61
E in eV/atom: -8.253

a = 3.2838 Å, b = 3.2838 Å, c = 3.7307 Å
α = 90.00°, β = 90.00°, γ = 90.00°
Fractional positions:
Hf (0.0000, 0.0000, 0.0000)
B (0.5000, 0.5000, 0.5000)
N (0.0000, 0.5000, 0.5000)
N (0.5000, 0.0000, 0.5000)
O (0.5000, 0.5000, 0.0000)

---

RbTlTeAsCl: relaxed, PBE-GGA.

Properties
Uncorrected formation energy in eV/atom: -0.68
E in eV/atom: -3.271
Energy above the lowest structure with this stoichiometry in meV/atom: 28

a = 9.6225 Å, b = 9.6225 Å, c = 4.2252 Å
α = 97.95°, β = 97.95°, γ = 29.74°
Fractional positions:
Rb (0.0000, 0.0000, 0.0000)
Tl (0.3016, 0.3016, 0.2930)
Te (0.6649, 0.6649, 0.1043)
As (0.7549, 0.7549, 0.6594)
Cl (0.4718, 0.4718, 0.4850)